DFT (PBEsol) results for KSr2Si after structural relaxation.

Properties
Formation energy (no corrections) = -0.11 eV per atom
V = 41.07 Å³/atom
DOS(E_F) = 0.75 states/eV/atom
Calculated total energy = -10.992 eV per formula unit

Cell lengths 3.848, 3.848, 11.095 Å; angles 90.00, 90.00, 90.00 degrees
Positions (direct):
K: 0.000 0.000 0.000
Sr: 0.500 0.500 0.342
Sr: 0.500 0.500 0.658
Si: 0.000 0.000 0.500